Computed, not measured: crystalline YThCd4 at its relaxed geometry at the PBE-GGA level of DFT.

a b c (Å): 3.4241 5.0369 8.7546
angles (deg): 90.00 90.00 90.00
Last column: nearest neighbours and their distance in Å.
Fractional coordinates of all 6 atoms:
Y (0.0000, 0.0000, 0.0000)  12 Cd 3.34-3.36, 2 Y 3.42
Th (0.0000, 0.5000, 0.5000)  12 Cd 3.40-3.42, 2 Th 3.42
Cd (0.5000, 0.0000, 0.3278)  3 Cd 2.91-3.01
Cd (0.5000, 0.0000, 0.6722)  3 Cd 2.91-3.01
Cd (0.5000, 0.5000, 0.1620)  3 Cd 2.84-2.91
Cd (0.5000, 0.5000, 0.8380)  3 Cd 2.84-2.91

Summary:
total moment: 0.000 μB/atom
final energy: -19.06 eV for the cell shown

***

Computed, not measured: crystalline YThCd5 at its relaxed geometry at the PBE-GGA level of DFT.

a b c (Å): 5.1756 5.1756 7.0494
angles (deg): 90.00 90.00 90.00
Last column: nearest neighbours and their distance in Å.
Fractional coordinates of all 7 atoms:
Y (0.0000, 0.0000, 0.0000)  8 Cd 3.05
Th (0.5000, 0.5000, 0.5000)  8 Cd 3.22
Cd (0.0000, 0.0000, 0.5000)  8 Cd 3.22, 2 Y 3.52
Cd (0.0000, 0.5000, 0.2280)  2 Y 3.05, 3 Cd 3.21-3.22, 2 Th 3.22
Cd (0.0000, 0.5000, 0.7720)  2 Y 3.05, 3 Cd 3.21-3.22, 2 Th 3.22
Cd (0.5000, 0.0000, 0.2280)  2 Y 3.05, 3 Cd 3.21-3.22, 2 Th 3.22
Cd (0.5000, 0.0000, 0.7720)  2 Y 3.05, 3 Cd 3.21-3.22, 2 Th 3.22

Summary:
total moment: 0.000 μB/atom
final energy: -18.56 eV for the cell shown

***

Computed, not measured: crystalline Y4ThCd5 at its relaxed geometry at the PBE-GGA level of DFT.

a b c (Å): 3.7357 3.7357 19.1777
angles (deg): 90.00 90.00 90.00
Last column: nearest neighbours and their distance in Å.
Fractional coordinates of all 10 atoms:
Y (0.0000, 0.0000, 0.0983)  8 Cd 3.25
Y (0.0000, 0.0000, 0.2951)  8 Cd 3.21-3.24
Y (0.0000, 0.0000, 0.7049)  8 Cd 3.21-3.24
Y (0.0000, 0.0000, 0.9017)  8 Cd 3.25
Th (0.0000, 0.0000, 0.5000)  8 Cd 3.38, 4 Th 3.74
Cd (0.5000, 0.5000, 0.0000)  8 Y 3.25
Cd (0.5000, 0.5000, 0.1971)  8 Y 3.24-3.25
Cd (0.5000, 0.5000, 0.3901)  4 Y 3.21, 4 Th 3.38
Cd (0.5000, 0.5000, 0.6099)  4 Y 3.21, 4 Th 3.38
Cd (0.5000, 0.5000, 0.8029)  8 Y 3.24-3.25

Summary:
total moment: 0.001 μB/atom
final energy: -40.78 eV for the cell shown

***

Computed, not measured: crystalline YThCd4 at its relaxed geometry at the PBE-GGA level of DFT.

a b c (Å): 5.9543 5.9543 5.9543
angles (deg): 60.00 60.00 60.00
Last column: nearest neighbours and their distance in Å.
Fractional coordinates of all 6 atoms:
Y (0.0000, 0.0000, 0.0000)  12 Cd 3.49, 4 Th 3.65
Th (0.2500, 0.2500, 0.2500)  12 Cd 3.49, 4 Y 3.65
Cd (0.1240, 0.6253, 0.6253)  6 Cd 2.97-2.98
Cd (0.6253, 0.1240, 0.6253)  6 Cd 2.97-2.98
Cd (0.6253, 0.6253, 0.1240)  6 Cd 2.97-2.98
Cd (0.6253, 0.6253, 0.6253)  6 Cd 2.97-2.98

Summary:
total moment: 0.002 μB/atom
final energy: -18.67 eV for the cell shown

***

Computed, not measured: crystalline Y2ThCd3 at its relaxed geometry at the PBE-GGA level of DFT.

a b c (Å): 3.6075 3.6075 12.3768
angles (deg): 90.00 90.00 90.00
Last column: nearest neighbours and their distance in Å.
Fractional coordinates of all 6 atoms:
Y (0.0000, 0.0000, 0.1606)  8 Cd 3.22-3.23
Y (0.0000, 0.0000, 0.8394)  8 Cd 3.22-3.23
Th (0.0000, 0.0000, 0.5000)  8 Cd 3.40, 4 Th 3.61
Cd (0.5000, 0.5000, 0.0000)  8 Y 3.23, 4 Cd 3.61
Cd (0.5000, 0.5000, 0.3188)  4 Y 3.22, 4 Th 3.40
Cd (0.5000, 0.5000, 0.6812)  4 Y 3.22, 4 Th 3.40

Summary:
total moment: 0.001 μB/atom
final energy: -24.61 eV for the cell shown

***

Computed, not measured: crystalline Y6ThCd at its relaxed geometry at the PBE-GGA level of DFT.

a b c (Å): 6.3293 6.3293 6.3293
angles (deg): 95.35 95.35 95.35
Last column: nearest neighbours and their distance in Å.
Fractional coordinates of all 8 atoms:
Y (0.0404, 0.7595, 0.5490)  1 Cd 3.15, 2 Y 3.24-3.27, 1 Th 3.50
Y (0.2405, 0.4510, 0.9596)  1 Cd 3.15, 2 Y 3.24-3.27, 1 Th 3.50
Y (0.4510, 0.9596, 0.2405)  1 Cd 3.15, 2 Y 3.24-3.27, 1 Th 3.50
Y (0.5490, 0.0404, 0.7595)  1 Cd 3.15, 2 Y 3.24-3.27, 1 Th 3.50
Y (0.7595, 0.5490, 0.0404)  1 Cd 3.15, 2 Y 3.24-3.27, 1 Th 3.50
Y (0.9596, 0.2405, 0.4510)  1 Cd 3.15, 2 Y 3.24-3.27, 1 Th 3.50
Th (0.5000, 0.5000, 0.5000)  12 Y 3.50-3.63
Cd (0.0000, 0.0000, 0.0000)  6 Y 3.15

Summary:
total moment: 0.000 μB/atom
final energy: -46.85 eV for the cell shown